This record from OQMD via LeMat-Bulk describes ErAsPtO after structural relaxation. The functional is PBE.

extended XYZ file:
```
8
Lattice="4.788 0.000 0.000 0.000 4.509 0.000 0.000 0.000 6.335" Properties=species:S:1:pos:R:3 pbc="T T T"
As 0.000 1.650 1.819
As 0.000 2.859 4.987
Er 2.394 3.257 0.599
Er 2.394 1.251 3.766
O 2.394 3.782 2.754
O 2.394 0.726 5.921
Pt 0.000 3.925 2.772
Pt 0.000 0.584 5.940
```

Summary:
The energy above the most stable polymorph in this dataset comes out at 415 meV/atom. Its volume is 68 Å³/f.u. The symmetry is Pmc2_1, No. 26. The magnetization comes out at 0.00 μB/f.u.

This record from OQMD via LeMat-Bulk describes ErAsPtO after structural relaxation. The functional is PBE.

extended XYZ file:
```
8
Lattice="5.859 0.000 0.000 0.000 5.859 0.000 0.000 0.000 4.495" Properties=species:S:1:pos:R:3 pbc="T T T"
As 4.394 4.394 0.026
As 1.465 1.465 4.470
Er 4.394 1.465 2.248
Er 1.465 4.394 2.248
O 4.394 1.465 0.000
O 1.465 4.394 0.000
Pt 1.465 1.465 2.222
Pt 4.394 4.394 2.273
```

Summary:
The energy above the most stable polymorph in this dataset comes out at 630 meV/atom. Its volume is 77 Å³/f.u. The symmetry is P4/nmm, No. 129. The magnetization comes out at 0.00 μB/f.u.

This record from OQMD via LeMat-Bulk describes RbErAsO after structural relaxation. The functional is PBE.

extended XYZ file:
```
8
Lattice="4.128 -4.133 0.000 4.128 4.133 0.000 0.000 0.000 5.291" Properties=species:S:1:pos:R:3 pbc="T T T"
As 4.128 -2.066 0.011
As 4.128 2.066 5.280
Er 2.064 0.000 0.000
Er 6.192 0.000 0.000
O 2.064 0.000 2.646
O 6.192 0.000 2.646
Rb 4.128 2.066 2.636
Rb 4.128 -2.066 2.656
```

Summary:
The energy above the most stable polymorph in this dataset comes out at 715 meV/atom. Its volume is 90 Å³/f.u. The symmetry is Cmme, No. 67. The magnetization comes out at 0.00 μB/f.u.

This record from OQMD via LeMat-Bulk describes RbErAsO after structural relaxation. The functional is PBE.

extended XYZ file:
```
8
Lattice="3.436 0.000 0.000 0.000 8.035 0.000 0.000 0.000 7.951" Properties=species:S:1:pos:R:3 pbc="T T T"
As 0.000 6.459 2.470
As 0.000 1.576 6.446
Er 0.000 1.024 3.637
Er 0.000 7.011 7.612
O 1.718 2.040 3.070
O 1.718 5.995 7.045
Rb 1.718 3.596 0.794
Rb 1.718 4.439 4.769
```

Summary:
The energy above the most stable polymorph in this dataset comes out at 0 meV/atom. Its volume is 110 Å³/f.u. The symmetry is Pmc2_1, No. 26. The magnetization comes out at 0.00 μB/f.u.

This record from OQMD via LeMat-Bulk describes RbErAsO after structural relaxation. The functional is PBE.

extended XYZ file:
```
8
Lattice="4.733 0.000 0.000 0.000 8.155 0.000 0.000 0.000 6.763" Properties=species:S:1:pos:R:3 pbc="T T T"
As 0.000 2.300 2.933
As 0.000 5.855 6.315
Er 2.367 7.236 0.234
Er 2.367 0.919 3.616
O 2.367 7.447 2.324
O 2.367 0.708 5.705
Rb 0.000 5.733 2.989
Rb 0.000 2.421 6.371
```

Summary:
The energy above the most stable polymorph in this dataset comes out at 109 meV/atom. Its volume is 131 Å³/f.u. The symmetry is Pmc2_1, No. 26. The magnetization comes out at 1.00 μB/f.u.

This record from OQMD via LeMat-Bulk describes RbErAsO after structural relaxation. The functional is PBE.

extended XYZ file:
```
8
Lattice="-3.557 -1.452 1.481 -0.609 -2.079 -3.502 5.233 -8.565 4.173" Properties=species:S:1:pos:R:3 pbc="T T T"
As -1.767 -4.872 -0.433
As 2.832 -7.224 2.584
Er -0.587 -1.628 -0.142
Er 1.652 -10.467 2.294
O -2.820 -1.609 0.235
O -1.346 -1.922 -2.256
Rb -0.204 -5.891 2.321
Rb 1.270 -6.204 -0.170
```

Summary:
The energy above the most stable polymorph in this dataset comes out at 220 meV/atom. Its volume is 92 Å³/f.u. The symmetry is P4/nmm, No. 129. The magnetization comes out at 0.00 μB/f.u.